Er2MgAl9: optimized geometry, GGA-PBE.

POSCAR file:
```
Er2MgAl9
1.0
-1.1291 4.0111 -0.6479
-1.4586 0.2275 3.9503
11.3032 3.8202 3.9537
Al Er Mg
9 2 1
Direct
0.5000 0.0000 0.8415 Al
0.5000 0.5000 0.0000 Al
0.5000 0.0000 0.1585 Al
0.0000 0.5000 0.8415 Al
0.5000 0.0000 0.5000 Al
0.0000 0.5000 0.1585 Al
0.5000 0.5000 0.6672 Al
0.5000 0.5000 0.3328 Al
0.0000 0.5000 0.5000 Al
0.0000 0.0000 0.3309 Er
0.0000 0.0000 0.6691 Er
0.0000 0.0000 0.0000 Mg
```

## Properties
Formation energy from the elements (eV per atom): -0.264

=====

PrPb2: optimized geometry, GGA-PBE.

POSCAR file:
```
PrPb2
1.0
6.4897 0.0000 0.0000
3.2448 5.6202 0.0000
3.2448 1.8734 5.2988
Pr Pb
2 4
Direct
0.2500 0.2500 0.2500 Pr
0.0000 0.0000 0.0000 Pr
0.1250 0.6250 0.6250 Pb
0.6250 0.6250 0.6250 Pb
0.6250 0.6250 0.1250 Pb
0.6250 0.1250 0.6250 Pb
```

## Properties
Formation energy from the elements (eV per atom): -0.221

=====

AcIn5Rh3: optimized geometry, GGA-PBE.

POSCAR file:
```
AcIn5Rh3
1.0
4.2033 0.0000 0.0000
-2.1017 7.1142 0.0000
0.0000 0.0000 13.9041
Rh In Ac
6 10 2
Direct
0.3924 0.7848 0.5459 Rh
0.3924 0.7848 0.9541 Rh
0.1477 0.2954 0.7500 Rh
0.8523 0.7046 0.2500 Rh
0.6076 0.2152 0.4541 Rh
0.6076 0.2152 0.0459 Rh
0.0000 0.0000 0.5000 In
0.4418 0.8837 0.1494 In
0.7950 0.5901 0.4377 In
0.7950 0.5901 0.0623 In
0.5582 0.1163 0.8506 In
0.5582 0.1163 0.6494 In
0.2050 0.4099 0.9377 In
0.4418 0.8837 0.3506 In
0.0000 0.0000 0.0000 In
0.2050 0.4099 0.5623 In
0.8223 0.6446 0.7500 Ac
0.1777 0.3554 0.2500 Ac
```

## Properties
Formation energy from the elements (eV per atom): -0.353

=====

Mg2HIr: optimized geometry, GGA-PBE.

POSCAR file:
```
Mg2HIr
1.0
-4.1914 -0.4241 0.2912
0.5075 -5.6717 -1.0173
-1.6896 -1.2044 4.6239
Ir Mg H
2 4 2
Direct
0.5207 0.3701 0.3797 Ir
0.3229 0.7957 0.7757 Ir
0.2194 0.3424 0.9825 Mg
0.9219 0.5830 0.5774 Mg
0.6237 0.8239 0.1734 Mg
0.9220 0.0829 0.5775 Mg
0.6629 0.2047 0.0945 H
0.1812 0.9611 0.0609 H
```

## Properties
Distance to the lowest polymorph of the same formula (meV/atom): 0